This record from the Alexandria database describes a geometry-optimized CoReOsSeO structure. The functional is PBE with a Hubbard U.

The structure in POSCAR format:
```
CoReOsSeO
1.0
-1.967 -0.363 1.949
-1.486 -3.136 -2.083
3.963 -4.037 3.250
O Se Re Os Co
1 1 1 1 1
Cartesian
-0.734 -2.761 0.747 O
2.131 -2.171 1.747 Se
-0.621 -1.692 -0.941 Re
2.431 -3.659 3.774 Os
0.596 -4.115 1.837 Co
```

Output
Total magnetization   1.75 Bohr magnetons per cell
Energy relative to the lowest polymorph listed for this composition   10.5 kJ/mol of atoms
Crystal system   orthorhombic
DOS at the Fermi energy   1.97 states/eV/f.u.